MnCoAs2Br, optimized geometry, DFT PBEsol; total DFT energy (no corrections) = -5.36 eV/atom; V = 100.1 Å³/f.u.; formation energy from raw total energies = 0.56 eV/atom; space group = P4/mmm; total moment = 3.50 μB per cell
1.0
4.4315 0.0000 0.0000
0.0000 4.4315 0.0000
0.0000 0.0000 5.0993
Mn Co As Br
1 1 2 1
Direct
0.0000 0.0000 0.0000
0.5000 0.5000 0.5000
0.0000 0.5000 0.5000
0.5000 0.0000 0.5000
0.5000 0.5000 0.0000